1.
Here is a relaxed La3Tb2Pm2 crystal from Alexandria. Energies are from GGA-PBE.

Energy: -32.79 eV/cell
Relative energy among the computed polymorphs: 64 meV/atom
Formation energy from the elements: 0.11 eV per atom

The structure in POSCAR format:
```
La3Tb2Pm2
1.0
-3.0513 -0.1507 1.8351
-2.7269 -6.5589 -5.0729
6.1008 -1.8752 6.5296
La Tb Pm
3 2 2
Direct
0.0000 0.5000 0.0000
0.2134 0.7960 0.4268
0.7866 0.2040 0.5732
0.8548 0.6706 0.7096
0.1452 0.3294 0.2904
0.5642 0.9105 0.1284
0.4358 0.0895 0.8716
```

2.
Here is a relaxed La7Tb4Pm crystal from Alexandria. Energies are from GGA-PBE.

Energy: -57.57 eV/cell
Relative energy among the computed polymorphs: 0 meV/atom
Formation energy from the elements: 0.02 eV per atom

The structure in POSCAR format:
```
La7Tb4Pm
1.0
-1.4087 -6.7969 -2.5242
4.8869 -8.1700 -2.3354
1.1931 -3.3746 8.4007
La Tb Pm
7 4 1
Direct
0.7556 0.4981 0.0025
0.2444 0.5019 0.9975
0.9688 0.2817 0.6638
0.0312 0.7183 0.3362
0.2206 0.7795 0.6669
0.5000 0.0000 0.0000
0.7794 0.2205 0.3331
0.5321 0.7225 0.3316
0.4679 0.2775 0.6684
0.7183 0.7816 0.6652
0.2817 0.2184 0.3348
0.0000 0.0000 0.0000
```

3.
Here is a relaxed La4TbPm3 crystal from Alexandria. Energies are from GGA-PBE.

Energy: -36.98 eV/cell
Relative energy among the computed polymorphs: 0 meV/atom
Formation energy from the elements: 0.20 eV per atom

The structure in POSCAR format:
```
La4TbPm3
1.0
-1.3325 -3.2057 0.6105
5.5095 -2.6057 -1.6567
3.9332 2.5979 12.0507
Pm Tb La
3 1 4
Direct
0.0000 0.5000 0.0000
0.1429 0.7442 0.2858
0.8571 0.2558 0.7142
0.5000 0.0000 0.0000
0.7202 0.2440 0.4404
0.2798 0.7560 0.5596
0.1053 0.2346 0.2107
0.8947 0.7654 0.7893
```

4.
Here is a relaxed La12TbPm3 crystal from Alexandria. Energies are from GGA-PBE.

Energy: -77.89 eV/cell
Formation energy from the elements: 0.01 eV per atom

The structure in POSCAR format:
```
La12TbPm3
1.0
-1.5136 4.1694 2.7764
-4.9363 -0.7484 -1.5672
-3.4082 -12.2957 16.6068
La Tb Pm
12 1 3
Direct
0.5000 0.5000 0.0000
0.5000 0.5000 0.2489
0.5000 0.5000 0.5000
0.5000 0.5000 0.7511
0.5000 0.0000 0.1238
0.5000 0.0000 0.3744
0.5000 0.0000 0.6256
0.5000 0.0000 0.8762
0.0000 0.5000 0.1238
0.0000 0.5000 0.3744
0.0000 0.5000 0.6256
0.0000 0.5000 0.8762
0.0000 0.0000 0.0000
0.0000 0.0000 0.2489
0.0000 0.0000 0.5000
0.0000 0.0000 0.7511
```

no.,total moment (μB/atom)
1,0.000
2,0.000
3,0.000
4,0.000